# 1
The following is a PBEsol calculation of an optimized crystal structure of LaTl2, from the Alexandria database.

Cell: 5.4312 5.4312 6.6778 Å, 90.00 90.00 120.00°
Space group P6_3/mmc (No. 194)
Symmetry-distinct sites (fractional):
La1 0.3333 0.6667 0.2500 (multiplicity 2)
Tl1 0.0000 0.0000 0.0000 (multiplicity 2)
Tl2 0.3333 0.6667 0.7500 (multiplicity 2)

Summary:
E_form, kJ/mol of formula units: -116
Total moment, μB per cell: 0.00

***

# 2
The following is a PBEsol calculation of an optimized crystal structure of LiNi2O2F, from the Alexandria database.

Cell: 2.871 2.871 12.528 Å, 90.00 90.00 90.00°
Space group P4/nmm (No. 129, origin choice 2)
Symmetry-distinct sites (fractional):
Li1 0.250 0.250 0.083 (multiplicity 2)
Ni1 0.250 0.250 0.416 (multiplicity 2)
Ni2 0.250 0.250 0.747 (multiplicity 2)
O1 0.250 0.250 0.251 (multiplicity 2)
O2 0.250 0.250 0.580 (multiplicity 2)
F1 0.250 0.250 0.923 (multiplicity 2)

Summary:
DFT total energy, Ry/atom: -0.4219
Total moment, μB per cell: 0.21

***

# 3
The following is a PBEsol calculation of an optimized crystal structure of YC, from the Alexandria database.

Cell: 4.326 4.326 3.320 Å, 90.00 90.00 90.00°
Space group P4/nmm (No. 129, origin choice 2)
Symmetry-distinct sites (fractional):
Y1 0.250 0.250 0.205 (multiplicity 2)
C1 0.250 0.750 0.500 (multiplicity 2)

Summary:
E_form, kJ/mol of formula units: 41
Total moment, μB per cell: 0.00

***

# 4
The following is a PBEsol calculation of an optimized crystal structure of ZrPt2W, from the Alexandria database.

Cell: 2.826 2.826 8.229 Å, 90.00 90.00 90.00°
Space group P4mm (No. 99)
Symmetry-distinct sites (fractional):
Zr1 0.000 0.000 0.000 (multiplicity 1)
Pt1 0.000 0.000 0.501 (multiplicity 1)
Pt2 0.500 0.500 0.251 (multiplicity 1)
W1 0.500 0.500 0.724 (multiplicity 1)

Summary:
E_form, kJ/mol of formula units: -130
Total moment, μB per cell: 0.00

***

Repeat the fourth record exactly.
The following is a PBEsol calculation of an optimized crystal structure of ZrPt2W, from the Alexandria database.

Cell: 2.826 2.826 8.229 Å, 90.00 90.00 90.00°
Space group P4mm (No. 99)
Symmetry-distinct sites (fractional):
Zr1 0.000 0.000 0.000 (multiplicity 1)
Pt1 0.000 0.000 0.501 (multiplicity 1)
Pt2 0.500 0.500 0.251 (multiplicity 1)
W1 0.500 0.500 0.724 (multiplicity 1)

Summary:
E_form, kJ/mol of formula units: -130
Total moment, μB per cell: 0.00